This record from Alexandria via LeMat-Bulk describes a relaxed Co3C4 crystal. The functional is GGA-PBE.

## Properties
**Symmetry**: P6/mmm (191)
**ΔH_f (0 K)**: 849 meV/atom

a = 5.3034 Å, b = 5.3034 Å, c = 2.5485 Å
α = 90.00°, β = 90.00°, γ = 120.00°
Last column: nearest neighbours and their distance in Å.
Element x y z (fractional)
Co  0.0000  0.5000  0.0000  4 C 1.99
Co  0.5000  0.0000  0.0000  4 C 1.99
Co  0.5000  0.5000  0.0000  4 C 1.99
C  0.0000  0.0000  0.2510  2 C 1.27-1.28
C  0.0000  0.0000  0.7490  2 C 1.27-1.28
C  0.3333  0.6667  0.5000  6 Co 1.99
C  0.6667  0.3333  0.5000  6 Co 1.99



This record from Alexandria via LeMat-Bulk describes a relaxed Dy8Si3Te4As crystal. The functional is GGA-PBE.

## Properties
**Formation energy from raw total energies**: -19.4 eV/f.u.
**Symmetry**: R-3m (166)

a = 8.5920 Å, b = 8.5920 Å, c = 8.5920 Å
α = 58.77°, β = 58.77°, γ = 58.77°
Last column: nearest neighbours and their distance in Å.
Element x y z (fractional)
Dy  0.2355  0.7413  0.7413  2 Si 2.87, 1 As 2.91, 3 Te 3.13-3.16
Dy  0.2398  0.2398  0.2398  3 Si 2.89, 3 Te 3.14
Dy  0.2587  0.2587  0.7645  2 Si 2.87, 1 As 2.91, 3 Te 3.13-3.16
Dy  0.2587  0.7645  0.2587  2 Si 2.87, 1 As 2.91, 3 Te 3.13-3.16
Dy  0.7413  0.2355  0.7413  2 Si 2.87, 1 As 2.91, 3 Te 3.13-3.16
Dy  0.7413  0.7413  0.2355  2 Si 2.87, 1 As 2.91, 3 Te 3.13-3.16
Dy  0.7602  0.7602  0.7602  3 Si 2.89, 3 Te 3.14
Dy  0.7645  0.2587  0.2587  2 Si 2.87, 1 As 2.91, 3 Te 3.13-3.16
Si  0.0000  0.0000  0.5000  6 Dy 2.87-2.89
Si  0.0000  0.5000  0.0000  6 Dy 2.87-2.89
Si  0.5000  0.0000  0.0000  6 Dy 2.87-2.89
Te  0.0000  0.0000  0.0000  6 Dy 3.13
Te  0.0000  0.5000  0.5000  6 Dy 3.14-3.16
Te  0.5000  0.0000  0.5000  6 Dy 3.14-3.16
Te  0.5000  0.5000  0.0000  6 Dy 3.14-3.16
As  0.5000  0.5000  0.5000  6 Dy 2.91



Looking at total magnetic moment for the records above, in order, we have 0.00, 0.00 μB per formula unit.